Here is an optimized crystal structure of ReAs2 from OQMD. Energies are from PBE.

Cell: 7.2011 3.2092 8.5194 Å, 90.00 90.00 90.00°
Closest atoms and distances in Å follow each position.
Fractional coordinates of all 12 atoms:
Re (0.2561, 0.7500, 0.3902)  7 As 2.55-2.67
Re (0.7561, 0.7500, 0.1098)  7 As 2.55-2.67
Re (0.2439, 0.2500, 0.8902)  7 As 2.55-2.67
Re (0.7439, 0.2500, 0.6098)  7 As 2.55-2.67
As (0.0368, 0.7500, 0.6404)  3 Re 2.65-2.66, 4 As 2.93-2.95
As (0.5368, 0.7500, 0.8596)  3 Re 2.65-2.66, 4 As 2.93-2.95
As (0.9632, 0.2500, 0.3596)  3 Re 2.65-2.66, 4 As 2.93-2.95
As (0.4632, 0.2500, 0.1404)  3 Re 2.65-2.66, 4 As 2.93-2.95
As (0.6223, 0.7500, 0.4016)  4 Re 2.55-2.67
As (0.3777, 0.2500, 0.5984)  4 Re 2.55-2.67
As (0.8777, 0.2500, 0.9016)  4 Re 2.55-2.67
As (0.1223, 0.7500, 0.0984)  4 Re 2.55-2.67

size of the total moment = 0.00 μB per atom
total DFT energy (no corrections) = -0.517 Ry per atom

Here is an optimized crystal structure of ReSbAs from OQMD. Energies are from PBE.

Cell: 4.4425 4.4425 4.4425 Å, 60.00 60.00 60.00°
Closest atoms and distances in Å follow each position.
Fractional coordinates of all 3 atoms:
As (0.2500, 0.2500, 0.2500)  4 Re 2.72
Re (0.0000, 0.0000, 0.0000)  4 As 2.72, 4 Sb 2.72
Sb (0.7500, 0.7500, 0.7500)  4 Re 2.72

size of the total moment = 0.00 μB per atom
total DFT energy (no corrections) = -0.487 Ry per atom

Here is an optimized crystal structure of Re2SiAs2 from OQMD. Energies are from PBE.

Cell: 5.4530 5.4530 5.4530 Å, 132.28 132.28 69.79°
Closest atoms and distances in Å follow each position.
Fractional coordinates of all 5 atoms:
As (0.3677, 0.3677, 0.0000)  1 As 2.37, 4 Re 2.44
As (0.6323, 0.6323, 0.0000)  1 As 2.37, 4 Re 2.44
Si (0.0000, 0.0000, 0.0000)  8 Re 3.14, 10 As 3.29-3.34
Re (0.2500, 0.7500, 0.5000)  4 As 2.44
Re (0.7500, 0.2500, 0.5000)  4 As 2.44

size of the total moment = 0.00 μB per atom
total DFT energy (no corrections) = -0.539 Ry per atom

Here is an optimized crystal structure of SmReAs from OQMD. Energies are from PBE.

Cell: 4.5407 4.5407 4.5407 Å, 60.00 60.00 60.00°
Closest atoms and distances in Å follow each position.
Fractional coordinates of all 3 atoms:
Re (0.2500, 0.2500, 0.2500)  4 As 2.78
As (0.0000, 0.0000, 0.0000)  4 Sm 2.78, 4 Re 2.78
Sm (0.7500, 0.7500, 0.7500)  4 As 2.78

size of the total moment = 0.45 μB per atom
total DFT energy (no corrections) = -0.515 Ry per atom

Here is an optimized crystal structure of SmReAs from OQMD. Energies are from PBE.

Cell: 4.7314 4.7314 4.7314 Å, 60.00 60.00 60.00°
Closest atoms and distances in Å follow each position.
Fractional coordinates of all 3 atoms:
Sm (0.0000, 0.0000, 0.0000)  4 As 2.90, 4 Re 2.90
Re (0.7500, 0.7500, 0.7500)  4 Sm 2.90
As (0.2500, 0.2500, 0.2500)  4 Sm 2.90

size of the total moment = 0.47 μB per atom
total DFT energy (no corrections) = -0.451 Ry per atom

Here is an optimized crystal structure of Ta2ReAs from OQMD. Energies are from PBE.

Cell: 4.5406 4.5406 4.5406 Å, 60.00 60.00 60.00°
Closest atoms and distances in Å follow each position.
Fractional coordinates of all 4 atoms:
Ta (0.0000, 0.0000, 0.0000)  4 Ta 2.78, 4 Re 2.78
Ta (0.7500, 0.7500, 0.7500)  4 Ta 2.78, 4 As 2.78
Re (0.2500, 0.2500, 0.2500)  4 As 2.78, 4 Ta 2.78
As (0.5000, 0.5000, 0.5000)  4 Re 2.78, 4 Ta 2.78

size of the total moment = 0.00 μB per atom
total DFT energy (no corrections) = -0.732 Ry per atom

Here is an optimized crystal structure of TaReAs from OQMD. Energies are from PBE.

Cell: 4.2215 4.2215 4.2215 Å, 60.00 60.00 60.00°
Closest atoms and distances in Å follow each position.
Fractional coordinates of all 3 atoms:
Ta (0.7500, 0.7500, 0.7500)  4 As 2.59
As (0.0000, 0.0000, 0.0000)  4 Ta 2.59, 4 Re 2.59
Re (0.2500, 0.2500, 0.2500)  4 As 2.59

size of the total moment = 0.00 μB per atom
total DFT energy (no corrections) = -0.666 Ry per atom

Here is an optimized crystal structure of ReTcAs2 from OQMD. Energies are from PBE.

Cell: 4.4625 4.4625 4.4625 Å, 60.00 60.00 60.00°
Closest atoms and distances in Å follow each position.
Fractional coordinates of all 4 atoms:
As (0.7500, 0.7500, 0.7500)  4 Tc 2.73, 4 As 2.73
As (0.5000, 0.5000, 0.5000)  4 Re 2.73, 4 As 2.73
Tc (0.0000, 0.0000, 0.0000)  4 As 2.73, 4 Re 2.73
Re (0.2500, 0.2500, 0.2500)  4 As 2.73, 4 Tc 2.73

size of the total moment = 0.01 μB per atom
total DFT energy (no corrections) = -0.543 Ry per atom

Here is an optimized crystal structure of ReTc2As from OQMD. Energies are from PBE.

Cell: 4.3683 4.3683 4.3683 Å, 60.00 60.00 60.00°
Closest atoms and distances in Å follow each position.
Fractional coordinates of all 4 atoms:
Re (0.2500, 0.2500, 0.2500)  4 As 2.68, 4 Tc 2.68
Tc (0.7500, 0.7500, 0.7500)  4 Tc 2.68, 4 As 2.68
Tc (0.0000, 0.0000, 0.0000)  4 Tc 2.68, 4 Re 2.68
As (0.5000, 0.5000, 0.5000)  4 Tc 2.68, 4 Re 2.68

size of the total moment = 0.03 μB per atom
total DFT energy (no corrections) = -0.672 Ry per atom

Here is an optimized crystal structure of ReTcAs from OQMD. Energies are from PBE.

Cell: 4.1688 4.1688 4.1688 Å, 60.00 60.00 60.00°
Closest atoms and distances in Å follow each position.
Fractional coordinates of all 3 atoms:
Re (0.7500, 0.7500, 0.7500)  4 Tc 2.55
As (0.2500, 0.2500, 0.2500)  4 Tc 2.55
Tc (0.0000, 0.0000, 0.0000)  4 As 2.55, 4 Re 2.55

size of the total moment = 0.00 μB per atom
total DFT energy (no corrections) = -0.657 Ry per atom

Here is an optimized crystal structure of TmReAs from OQMD. Energies are from PBE.

Cell: 4.5929 4.5929 4.5929 Å, 60.00 60.00 60.00°
Closest atoms and distances in Å follow each position.
Fractional coordinates of all 3 atoms:
Tm (0.0000, 0.0000, 0.0000)  4 Re 2.81, 4 As 2.81
As (0.2500, 0.2500, 0.2500)  4 Tm 2.81
Re (0.7500, 0.7500, 0.7500)  4 Tm 2.81

size of the total moment = 0.01 μB per atom
total DFT energy (no corrections) = -0.458 Ry per atom

Here is an optimized crystal structure of TmReAs from OQMD. Energies are from PBE.

Cell: 4.4211 4.4211 4.4211 Å, 60.00 60.00 60.00°
Closest atoms and distances in Å follow each position.
Fractional coordinates of all 3 atoms:
Tm (0.7500, 0.7500, 0.7500)  4 As 2.71
As (0.0000, 0.0000, 0.0000)  4 Tm 2.71, 4 Re 2.71
Re (0.2500, 0.2500, 0.2500)  4 As 2.71

size of the total moment = 0.44 μB per atom
total DFT energy (no corrections) = -0.519 Ry per atom

Here is an optimized crystal structure of Re2AsW from OQMD. Energies are from PBE.

Cell: 4.4374 4.4374 4.4374 Å, 60.00 60.00 60.00°
Closest atoms and distances in Å follow each position.
Fractional coordinates of all 4 atoms:
As (0.5000, 0.5000, 0.5000)  4 W 2.72, 4 Re 2.72
Re (0.7500, 0.7500, 0.7500)  4 As 2.72, 4 Re 2.72
Re (0.0000, 0.0000, 0.0000)  4 Re 2.72, 4 W 2.72
W (0.2500, 0.2500, 0.2500)  4 As 2.72, 4 Re 2.72

size of the total moment = 0.00 μB per atom
total DFT energy (no corrections) = -0.743 Ry per atom

Here is an optimized crystal structure of Re2As2W3 from OQMD. Energies are from PBE.

Cell: 7.2812 7.2812 7.2812 Å, 35.37 35.37 35.37°
Closest atoms and distances in Å follow each position.
Fractional coordinates of all 7 atoms:
W (0.6192, 0.6192, 0.6192)  1 As 2.65, 4 Re 2.76-2.80, 3 W 2.95
W (0.8808, 0.8808, 0.8808)  4 Re 2.55-2.59, 3 As 2.81
W (0.3652, 0.3652, 0.3652)  4 As 2.55, 4 Re 2.67-2.81
Re (0.2346, 0.2346, 0.2346)  7 W 2.59-2.76
Re (0.7559, 0.7559, 0.7559)  5 W 2.55-2.81, 3 As 2.83
As (0.0296, 0.0296, 0.0296)  3 W 2.55, 3 Re 2.83
As (0.4896, 0.4896, 0.4896)  5 W 2.55-2.81

size of the total moment = 0.00 μB per atom
total DFT energy (no corrections) = -0.728 Ry per atom